Run a
A plane-wave DFT calculation with PBE-GGA was carried out for a relaxed Ti6InPb2 crystal.

Space group ... Immm, No. 71

a = 2.962 Å, b = 8.157 Å, c = 8.436 Å
α = 118.91°, β = 100.11°, γ = 90.00°
Element x y z (fractional)
In: 0.000 0.500 0.000
Ti: 0.330 0.505 0.660
Ti: 0.330 0.155 0.660
Pb: 0.155 0.155 0.310
Ti: 0.500 0.173 0.000
Pb: 0.845 0.845 0.690
Ti: 0.670 0.845 0.340
Ti: 0.670 0.495 0.340
Ti: 0.500 0.827 0.000

---

Run b
A plane-wave DFT calculation with PBE-GGA was carried out for a relaxed Ti6InPb2 crystal.

Space group ... Immm, No. 71

a = 4.919 Å, b = 8.090 Å, c = 8.090 Å
α = 37.84°, β = 72.30°, γ = 72.30°
Element x y z (fractional)
Ti: 0.807 0.942 0.444
Pb: 0.379 0.121 0.121
Ti: 0.807 0.444 0.942
Ti: 0.000 0.252 0.748
In: 0.500 0.500 0.500
Ti: 0.193 0.058 0.556
Ti: 0.000 0.748 0.252
Pb: 0.621 0.879 0.879
Ti: 0.193 0.556 0.058

---

What should be chosen as the least stable of them? Choose run b.

---

Run a
A plane-wave DFT calculation with PBE-GGA was carried out for a relaxed TiIn3Pb crystal.

Space group ... Pm-3m, No. 221

a = 5.684 Å, b = 5.684 Å, c = 5.684 Å
α = 90.00°, β = 90.00°, γ = 90.00°
Element x y z (fractional)
Pb: 0.000 0.000 0.000
In: 0.000 0.000 0.500
In: 0.500 0.000 0.000
In: 0.000 0.500 0.000
Ti: 0.500 0.500 0.500

---

Run b
A plane-wave DFT calculation with PBE-GGA was carried out for a relaxed TiIn3Pb crystal.

Space group ... Pm-3m, No. 221

a = 5.360 Å, b = 5.360 Å, c = 5.360 Å
α = 90.00°, β = 90.00°, γ = 90.00°
Element x y z (fractional)
Ti: 0.000 0.000 0.000
In: 0.500 0.000 0.000
Pb: 0.500 0.500 0.500
In: 0.000 0.000 0.500
In: 0.000 0.500 0.000

---

What should be chosen as the least stable of them? Choose run a.

---

Run a
A plane-wave DFT calculation with PBE-GGA was carried out for a relaxed Tl2In15Pb2 crystal.

Space group ... R-3m, No. 166

a = 8.316 Å, b = 8.316 Å, c = 8.316 Å
α = 82.26°, β = 82.26°, γ = 82.26°
Element x y z (fractional)
Pb: 0.107 0.107 0.107
Pb: 0.893 0.893 0.893
In: 0.500 0.000 0.000
In: 0.633 0.633 0.158
In: 0.367 0.367 0.842
In: 0.000 0.000 0.500
In: 0.300 0.700 0.000
In: 0.300 0.000 0.700
In: 0.633 0.158 0.633
In: 0.842 0.367 0.367
In: 0.000 0.700 0.300
In: 0.000 0.500 0.000
In: 0.700 0.000 0.300
In: 0.700 0.300 0.000
Tl: 0.345 0.345 0.345
Tl: 0.655 0.655 0.655
In: 0.158 0.633 0.633
In: 0.367 0.842 0.367
In: 0.000 0.300 0.700

---

Run b
A plane-wave DFT calculation with PBE-GGA was carried out for a relaxed Tl2In15Pb2 crystal.

Space group ... R-3m, No. 166

a = 9.174 Å, b = 9.174 Å, c = 9.174 Å
α = 60.72°, β = 60.72°, γ = 60.72°
Element x y z (fractional)
In: 0.678 0.000 0.322
In: 0.322 0.000 0.678
In: 0.434 0.795 0.434
In: 0.322 0.678 0.000
In: 0.000 0.000 0.500
In: 0.000 0.678 0.322
Pb: 0.743 0.743 0.743
Pb: 0.257 0.257 0.257
In: 0.795 0.434 0.434
In: 0.500 0.000 0.000
Tl: 0.087 0.087 0.087
In: 0.566 0.566 0.205
In: 0.566 0.205 0.566
In: 0.205 0.566 0.566
Tl: 0.913 0.913 0.913
In: 0.678 0.322 0.000
In: 0.000 0.500 0.000
In: 0.434 0.434 0.795
In: 0.000 0.322 0.678

---

What should be chosen as the least stable of them? Choose run b.

---

Run a
A plane-wave DFT calculation with PBE-GGA was carried out for a relaxed TlInPb2 crystal.

Space group ... I-42d, No. 122

a = 4.679 Å, b = 4.679 Å, c = 12.114 Å
α = 78.86°, β = 78.86°, γ = 90.00°
Element x y z (fractional)
Tl: 0.750 0.250 0.500
Pb: 0.623 0.125 0.250
Pb: 0.127 0.625 0.250
Tl: 0.000 0.000 0.000
In: 0.500 0.500 0.000
In: 0.250 0.750 0.500
Pb: 0.875 0.873 0.750
Pb: 0.375 0.377 0.750

---

Run b
A plane-wave DFT calculation with PBE-GGA was carried out for a relaxed TlInPb2 crystal.

Space group ... R3m, No. 160

a = 4.505 Å, b = 4.505 Å, c = 8.170 Å
α = 73.99°, β = 73.99°, γ = 60.00°
Element x y z (fractional)
Tl: 0.666 0.666 0.002
Pb: 0.094 0.094 0.719
In: 0.500 0.500 0.500
Pb: 0.240 0.240 0.280

---

Run c
A plane-wave DFT calculation with PBE-GGA was carried out for a relaxed TlInPb2 crystal.

Space group ... I4/mmm, No. 139

a = 5.981 Å, b = 5.981 Å, c = 5.981 Å
α = 130.31°, β = 130.31°, γ = 72.92°
Element x y z (fractional)
Pb: 0.000 0.000 0.000
Tl: 0.250 0.750 0.500
In: 0.750 0.250 0.500
Pb: 0.500 0.500 0.000

---

Run d
A plane-wave DFT calculation with PBE-GGA was carried out for a relaxed TlInPb2 crystal.

Space group ... Pmm2, No. 25

a = 3.466 Å, b = 4.919 Å, c = 7.093 Å
α = 90.00°, β = 90.00°, γ = 90.00°
Element x y z (fractional)
In: 0.500 0.500 0.752
Pb: 0.500 0.500 0.249
Tl: 0.000 0.000 0.504
Pb: 0.000 0.000 0.995

---

What should be chosen as the least stable of them? Choose run b.

---

Run a
A plane-wave DFT calculation with PBE-GGA was carried out for a relaxed TlIn4Pb4 crystal.

Space group ... I4/mmm, No. 139

a = 4.854 Å, b = 7.808 Å, c = 7.808 Å
α = 84.46°, β = 71.89°, γ = 71.89°
Element x y z (fractional)
Pb: 0.669 0.662 0.000
Pb: 0.331 0.000 0.338
Pb: 0.669 0.000 0.662
In: 0.662 0.338 0.338
In: 0.338 0.662 0.662
Pb: 0.331 0.338 0.000
In: 0.000 0.662 0.338
In: 0.000 0.338 0.662
Tl: 0.000 0.000 0.000

---

Run b
A plane-wave DFT calculation with PBE-GGA was carried out for a relaxed TlIn4Pb4 crystal.

Space group ... P4_2/nmc, No. 137

a = 7.160 Å, b = 7.160 Å, c = 11.584 Å
α = 90.00°, β = 90.00°, γ = 90.00°
Element x y z (fractional)
In: 0.500 0.753 0.230
In: 0.253 0.000 0.730
Pb: 0.280 0.000 0.430
In: 0.747 0.000 0.730
In: 0.247 0.500 0.770
Pb: 0.000 0.720 0.570
In: 0.753 0.500 0.770
Tl: 0.500 0.500 0.500
Pb: 0.720 0.000 0.430
In: 0.000 0.253 0.270
Tl: 0.000 0.000 0.000
Pb: 0.000 0.280 0.570
Pb: 0.500 0.780 0.930
Pb: 0.780 0.500 0.070
In: 0.000 0.747 0.270
In: 0.500 0.247 0.230
Pb: 0.500 0.220 0.930
Pb: 0.220 0.500 0.070

---

What should be chosen as the least stable of them? Choose run b.

---

Run a
A plane-wave DFT calculation with PBE-GGA was carried out for a relaxed TlIn6Pb2 crystal.

Space group ... C2/m, No. 12

a = 6.742 Å, b = 7.087 Å, c = 7.087 Å
α = 52.27°, β = 94.16°, γ = 94.16°
Element x y z (fractional)
Tl: 0.000 0.000 0.000
In: 0.584 0.125 0.635
Pb: 0.162 0.410 0.410
In: 0.584 0.635 0.125
In: 0.416 0.365 0.875
Pb: 0.838 0.590 0.590
In: 0.416 0.875 0.365
In: 0.835 0.220 0.220
In: 0.165 0.780 0.780

---

Run b
A plane-wave DFT calculation with PBE-GGA was carried out for a relaxed TlIn6Pb2 crystal.

Space group ... C2/m, No. 12

a = 5.109 Å, b = 5.944 Å, c = 9.820 Å
α = 104.23°, β = 90.00°, γ = 115.45°
Element x y z (fractional)
In: 0.664 0.327 0.059
In: 0.996 0.992 0.161
In: 0.338 0.676 0.616
In: 0.004 0.008 0.839
Tl: 0.000 0.000 0.500
In: 0.662 0.324 0.384
Pb: 0.673 0.346 0.727
Pb: 0.327 0.654 0.273
In: 0.336 0.673 0.941

---

What should be chosen as the least stable of them? Choose run a.

---

Run a
A plane-wave DFT calculation with PBE-GGA was carried out for a relaxed TlIn4Pb crystal.

Space group ... Cmcm, No. 63

a = 5.406 Å, b = 8.317 Å, c = 8.962 Å
α = 90.00°, β = 107.55°, γ = 90.00°
Element x y z (fractional)
In: 0.000 0.500 0.000
In: 0.547 0.750 0.094
In: 0.453 0.250 0.906
In: 0.248 0.076 0.496
Pb: 0.853 0.250 0.706
Tl: 0.636 0.250 0.271
In: 0.248 0.424 0.496
In: 0.752 0.924 0.504
In: 0.752 0.576 0.504
In: 0.000 0.000 0.000
Tl: 0.364 0.750 0.729
Pb: 0.147 0.750 0.294

---

Run b
A plane-wave DFT calculation with PBE-GGA was carried out for a relaxed TlIn4Pb crystal.

Space group ... F-43m, No. 216

a = 6.303 Å, b = 6.303 Å, c = 6.303 Å
α = 60.00°, β = 60.00°, γ = 60.00°
Element x y z (fractional)
In: 0.625 0.625 0.125
In: 0.125 0.625 0.625
Tl: 0.000 0.000 0.000
In: 0.625 0.125 0.625
Pb: 0.250 0.250 0.250
In: 0.625 0.625 0.625

---

What should be chosen as the least stable of them? Choose run a.

---

Run a
A plane-wave DFT calculation with PBE-GGA was carried out for a relaxed Tl2In2Pb crystal.

Space group ... P2/m, No. 10

a = 3.377 Å, b = 5.334 Å, c = 8.620 Å
α = 106.25°, β = 90.00°, γ = 90.00°
Element x y z (fractional)
In: 0.000 0.203 0.401
In: 0.000 0.797 0.599
Pb: 0.000 0.000 0.000
Tl: 0.500 0.606 0.212
Tl: 0.500 0.394 0.788

---

Run b
A plane-wave DFT calculation with PBE-GGA was carried out for a relaxed Tl2In2Pb crystal.

Space group ... I4/mmm, No. 139

a = 4.250 Å, b = 4.250 Å, c = 9.171 Å
α = 76.60°, β = 76.60°, γ = 90.00°
Element x y z (fractional)
In: 0.750 0.250 0.500
Tl: 0.401 0.401 0.198
In: 0.250 0.750 0.500
Pb: 0.000 0.000 0.000
Tl: 0.599 0.599 0.802

---

What should be chosen as the least stable of them? Choose run b.

---

Run a
A plane-wave DFT calculation with PBE-GGA was carried out for a relaxed Tl2In2Pb crystal.

Space group ... P4/mbm, No. 127

a = 8.987 Å, b = 8.987 Å, c = 3.749 Å
α = 90.00°, β = 90.00°, γ = 90.00°
Element x y z (fractional)
Pb: 0.000 0.000 0.000
Tl: 0.362 0.862 0.000
Tl: 0.638 0.138 0.000
Tl: 0.138 0.362 0.000
In: 0.337 0.163 0.500
In: 0.837 0.337 0.500
In: 0.163 0.663 0.500
Tl: 0.862 0.638 0.000
In: 0.663 0.837 0.500
Pb: 0.500 0.500 0.000

---

Run b
A plane-wave DFT calculation with PBE-GGA was carried out for a relaxed Tl2In2Pb crystal.

Space group ... P4/mbm, No. 127

a = 8.912 Å, b = 8.912 Å, c = 3.798 Å
α = 90.00°, β = 90.00°, γ = 90.00°
Element x y z (fractional)
Tl: 0.331 0.169 0.500
Pb: 0.000 0.000 0.000
In: 0.869 0.631 0.000
In: 0.369 0.869 0.000
In: 0.131 0.369 0.000
Tl: 0.831 0.331 0.500
Tl: 0.169 0.669 0.500
Pb: 0.500 0.500 0.000
Tl: 0.669 0.831 0.500
In: 0.631 0.131 0.000

---

What should be chosen as the least stable of them? Choose run a.

---

Run a
A plane-wave DFT calculation with PBE-GGA was carried out for a relaxed Tl2InPb2 crystal.

Space group ... P4/mbm, No. 127

a = 9.664 Å, b = 9.664 Å, c = 3.454 Å
α = 90.00°, β = 90.00°, γ = 90.00°
Element x y z (fractional)
Pb: 0.172 0.672 0.500
Pb: 0.672 0.828 0.500
Tl: 0.126 0.374 0.000
In: 0.000 0.000 0.000
Pb: 0.828 0.328 0.500
Pb: 0.328 0.172 0.500
Tl: 0.374 0.874 0.000
Tl: 0.874 0.626 0.000
Tl: 0.626 0.126 0.000
In: 0.500 0.500 0.000

---

Run b
A plane-wave DFT calculation with PBE-GGA was carried out for a relaxed Tl2InPb2 crystal.

Space group ... C2/m, No. 12

a = 5.075 Å, b = 6.306 Å, c = 5.792 Å
α = 76.81°, β = 64.02°, γ = 66.27°
Element x y z (fractional)
Pb: 0.393 0.806 0.408
Pb: 0.607 0.194 0.592
Tl: 0.800 0.596 0.803
Tl: 0.200 0.404 0.197
In: 0.000 0.000 0.000

---

What should be chosen as the least stable of them? Choose run a.

---

Run a
A plane-wave DFT calculation with PBE-GGA was carried out for a relaxed Tl2InPb2 crystal.

Space group ... P4/mbm, No. 127

a = 8.946 Å, b = 8.946 Å, c = 4.010 Å
α = 90.00°, β = 90.00°, γ = 90.00°
Element x y z (fractional)
Tl: 0.164 0.664 0.500
Pb: 0.636 0.136 0.000
Pb: 0.864 0.636 0.000
In: 0.500 0.500 0.000
Pb: 0.136 0.364 0.000
Pb: 0.364 0.864 0.000
In: 0.000 0.000 0.000
Tl: 0.836 0.336 0.500
Tl: 0.336 0.164 0.500
Tl: 0.664 0.836 0.500

---

Run b
A plane-wave DFT calculation with PBE-GGA was carried out for a relaxed Tl2InPb2 crystal.

Space group ... I4/mmm, No. 139

a = 4.469 Å, b = 4.469 Å, c = 8.806 Å
α = 75.30°, β = 75.30°, γ = 90.00°
Element x y z (fractional)
Tl: 0.750 0.250 0.500
Pb: 0.596 0.596 0.808
In: 0.000 0.000 0.000
Tl: 0.250 0.750 0.500
Pb: 0.404 0.404 0.192

---

What should be chosen as the least stable of them? Choose run b.